Computed, not measured: a relaxed structure of CaFeAu4 at the PBE-GGA level of DFT.

## Properties
Volume: 20.14 Å³/atom
Magnetic moment: 3.01 μB per formula unit
E_form: -0.067 eV per atom
DOS(E_F): 4.54 states/eV/f.u.

Unit cell a=5.5493 b=5.5493 c=5.5493 alpha=60.00 beta=60.00 gamma=60.00
Closest atoms and distances in Å follow each position.
Fractional coordinates of all 6 atoms:
Ca1 0.0000 0.0000 0.0000  12 Au 3.25, 4 Fe 3.40
Fe1 0.2500 0.2500 0.2500  12 Au 3.25, 4 Ca 3.40
Au1 0.1258 0.6247 0.6247  6 Au 2.77-2.78
Au2 0.6247 0.1258 0.6247  6 Au 2.77-2.78
Au3 0.6247 0.6247 0.1258  6 Au 2.77-2.78
Au4 0.6247 0.6247 0.6247  6 Au 2.77-2.78